{
  "formula": "ScCrCu2",
  "functional": "PBE",
  "state": "relaxed",
  "cell": [[-3.3824, 0.4846, 1.6686], [-0.3921, -3.7704, 0.3002], [2.1823, -1.4145, 9.1674]],
  "species": ["Cu", "Cu", "Cu", "Cr", "Cu", "Sc", "Sc", "Cr"],
  "frac_coords": [[0.6582, 0.1250, 0.2500], [0.3750, 0.3418, 0.7500], [0.8750, 0.9082, 0.7500], [0.7500, 0.2500, 0.5000], [0.0918, 0.6250, 0.2500], [0.2500, 0.7500, 0.5000], [0.5000, 0.5000, 0.0000], [0.0000, 0.0000, 0.0000]],
  "delta_e_f_mev_per_atom": 489.5,
  "magnetic_moment_mub_per_atom": 0.848,
  "volume_a3_per_cell": 132.19,
  "polymorph_energy_mev_per_atom": 447,
  "spacegroup": "I-42d (122)"
}